[1]
MnVGe2 after structural relaxation, computed with PBE.

The calculation puts the total energy at -6.81 eV per atom. The space group is R3m (160). The calculation puts the formation energy at 0.074 eV per atom. As for the density of states at the Fermi level: 4.58 states/eV per cell.

Structure (POSCAR):
```
MnVGe2
1.0
3.7301 0.0000 0.0000
1.8650 3.2303 0.0000
1.8650 1.0768 5.2845
Mn V Ge
1 1 2
direct
0.4941 0.4941 0.5178 Mn
0.6726 0.6726 0.9821 V
0.2493 0.2493 0.2522 Ge
0.0841 0.0841 0.7478 Ge
```

[2]
MnV6Ge3 after structural relaxation, computed with PBE.

The calculation puts the total energy at -7.77 eV per atom. The space group is P2_1/m (11). The calculation puts the formation energy at 0.004 eV per atom. As for the density of states at the Fermi level: 18.26 states/eV per cell.

Structure (POSCAR):
```
MnV6Ge3
1.0
2.7691 0.0000 0.0000
0.0000 10.2255 -0.7964
0.0000 -4.1925 10.4401
Ge V Mn
6 12 2
direct
0.7500 0.5026 0.8366 Ge
0.7500 0.6723 0.4746 Ge
0.2500 0.3277 0.5254 Ge
0.2500 0.4974 0.1634 Ge
0.2500 0.7763 0.8714 Ge
0.7500 0.2237 0.1286 Ge
0.2500 0.2440 0.7174 V
0.2500 0.9076 0.5222 V
0.7500 0.8441 0.7174 V
0.2500 0.4347 0.3610 V
0.7500 0.0924 0.4778 V
0.7500 0.9066 0.0888 V
0.7500 0.5653 0.6390 V
0.2500 0.6616 0.0509 V
0.7500 0.3384 0.9491 V
0.2500 0.0934 0.9112 V
0.2500 0.1559 0.2826 V
0.7500 0.7560 0.2826 V
0.7500 0.0623 0.7231 Mn
0.2500 0.9377 0.2769 Mn
```

[3]
MnV12Ge7 after structural relaxation, computed with PBE.

The calculation puts the total energy at -7.48 eV per atom. The space group is R-3 (148). The calculation puts the formation energy at 0.069 eV per atom. As for the density of states at the Fermi level: 20.07 states/eV per cell.

Structure (POSCAR):
```
MnV12Ge7
1.0
-4.6460 -3.3428 -3.4442
4.7443 -1.3882 -4.4929
1.5266 -5.3518 3.6945
Ge V Mn
7 12 1
direct
0.1658 0.3884 0.0064 Ge
0.8342 0.6116 0.9936 Ge
0.0064 0.1658 0.3884 Ge
0.9936 0.8342 0.6116 Ge
0.6116 0.9936 0.8342 Ge
0.3884 0.0064 0.1658 Ge
0.5000 0.5000 0.5000 Ge
0.7506 0.8727 0.2673 V
0.4771 0.6051 0.1527 V
0.5229 0.3949 0.8473 V
0.6051 0.1527 0.4771 V
0.1527 0.4771 0.6051 V
0.1273 0.7327 0.2494 V
0.7327 0.2494 0.1273 V
0.8473 0.5229 0.3949 V
0.8727 0.2673 0.7506 V
0.2673 0.7506 0.8727 V
0.2494 0.1273 0.7327 V
0.3949 0.8473 0.5229 V
0.0000 0.0000 0.0000 Mn
```

[4]
MnVGe2 after structural relaxation, computed with PBE.

The calculation puts the total energy at -6.83 eV per atom. The space group is R-3m (166). The calculation puts the formation energy at 0.048 eV per atom. As for the density of states at the Fermi level: 3.26 states/eV per cell.

Structure (POSCAR):
```
MnVGe2
1.0
2.8346 0.0000 0.0000
1.4173 2.4548 0.0000
1.4173 0.8183 8.1621
Ge V Mn
2 1 1
direct
0.2523 0.2523 0.2430 Ge
0.7477 0.7477 0.7570 Ge
0.5000 0.5000 0.5000 V
0.0000 0.0000 0.0000 Mn
```

[5]
Mn3VGe after structural relaxation, computed with PBE.

The calculation puts the total energy at -7.28 eV per atom. The space group is Pm-3m (221). The calculation puts the formation energy at 0.964 eV per atom. As for the density of states at the Fermi level: 5.31 states/eV per cell.

Structure (POSCAR):
```
Mn3VGe
1.0
4.4160 0.0000 0.0000
0.0000 4.4160 0.0000
0.0000 0.0000 4.4160
Mn Ge V
3 1 1
direct
0.0000 0.5000 0.0000 Mn
0.0000 0.0000 0.5000 Mn
0.5000 0.0000 0.0000 Mn
0.5000 0.5000 0.5000 Ge
0.0000 0.0000 0.0000 V
```

[6]
Mn2V2Ge after structural relaxation, computed with PBE.

The calculation puts the total energy at -8.22 eV per atom. The space group is C2/m (12). The calculation puts the formation energy at 0.016 eV per atom. As for the density of states at the Fermi level: 8.64 states/eV per cell.

Structure (POSCAR):
```
Mn2V2Ge
1.0
-1.7203 3.4525 -1.2384
-5.7661 -1.5524 3.6819
5.5469 1.3099 2.5733
Mn V Ge
4 4 2
direct
0.3389 0.6720 0.1777 Mn
0.1611 0.8280 0.8223 Mn
0.6611 0.3280 0.8223 Mn
0.8389 0.1720 0.1777 Mn
0.9238 0.5908 0.3477 V
0.5761 0.9092 0.6523 V
0.4239 0.0908 0.3477 V
0.0762 0.4092 0.6523 V
0.7500 0.7500 0.0000 Ge
0.2500 0.2500 0.0000 Ge
```

[7]
MnVGe2 after structural relaxation, computed with PBE.

The calculation puts the total energy at -6.85 eV per atom. The space group is P4/mmm (123). The calculation puts the formation energy at 0.030 eV per atom. As for the density of states at the Fermi level: 2.96 states/eV per cell.

Structure (POSCAR):
```
MnVGe2
1.0
-1.1784 1.7481 -1.9747
1.9128 -0.9224 -1.9580
-4.0388 -4.6859 -1.7381
Mn Ge V
1 2 1
direct
0.5000 0.5000 0.0000 Mn
0.0000 0.0000 0.7737 Ge
0.0000 0.0000 0.2263 Ge
0.5000 0.5000 0.5000 V
```

[8]
MnVGe after structural relaxation, computed with PBE.

The calculation puts the total energy at -7.65 eV per atom. The space group is P1 (1). The calculation puts the formation energy at -0.012 eV per atom. As for the density of states at the Fermi level: 3.41 states/eV per cell.

Structure (POSCAR):
```
MnVGe
1.0
-2.5916 -0.0759 1.4110
-1.2756 -3.5244 -2.4152
0.4445 -5.2372 3.9696
Ge V Mn
2 2 2
direct
0.4660 0.7054 0.6365 Ge
0.9561 0.2050 0.6441 Ge
0.7867 0.7624 0.9969 V
0.6318 0.1474 0.2834 V
0.1281 0.6401 0.2936 Mn
0.2904 0.2696 0.9867 Mn
```

[9]
Mn5VGe4 after structural relaxation, computed with PBE.

The calculation puts the total energy at -7.31 eV per atom. The space group is Pmmn (59). The calculation puts the formation energy at 0.035 eV per atom. As for the density of states at the Fermi level: 11.15 states/eV per cell.

Structure (POSCAR):
```
Mn5VGe4
1.0
-0.8368 0.0470 4.1367
5.7263 -6.0456 1.2271
5.3455 5.2706 1.0214
Mn Ge V
10 8 2
direct
0.2653 0.7585 0.6811 Mn
0.7347 0.2585 0.1811 Mn
0.2653 0.2415 0.3189 Mn
0.2653 0.0000 0.5000 Mn
0.7347 0.2585 0.8189 Mn
0.7347 0.5000 0.0000 Mn
0.2653 0.2415 0.6811 Mn
0.7347 0.7415 0.8189 Mn
0.7347 0.7415 0.1811 Mn
0.2653 0.7585 0.3189 Mn
0.0434 0.0000 0.1841 Ge
0.9566 0.5000 0.6841 Ge
0.9566 0.5000 0.3159 Ge
0.2461 0.3292 0.0000 Ge
0.7539 0.1708 0.5000 Ge
0.2461 0.6708 0.0000 Ge
0.7539 0.8292 0.5000 Ge
0.0434 0.0000 0.8159 Ge
0.5614 0.0000 0.0000 V
0.4386 0.5000 0.5000 V
```

[10]
Mn2V6Ge after structural relaxation, computed with PBE.

The calculation puts the total energy at -8.59 eV per atom. The space group is Immm (71). The calculation puts the formation energy at 0.043 eV per atom. As for the density of states at the Fermi level: 23.15 states/eV per cell.

Structure (POSCAR):
```
Mn2V6Ge
1.0
-2.8945 2.5984 5.5890
4.0569 -5.1780 1.7595
3.9073 4.5353 -3.2450
V Ge Mn
12 2 4
direct
0.5069 0.7090 0.7979 V
0.9111 0.7090 0.2021 V
0.4931 0.2910 0.2021 V
0.7344 0.4216 0.6873 V
0.2656 0.9529 0.6873 V
0.7344 0.0471 0.3127 V
0.7907 0.2484 0.0391 V
0.0889 0.2910 0.7979 V
0.2656 0.5784 0.3127 V
0.2093 0.2484 0.4576 V
0.2093 0.7516 0.9609 V
0.7907 0.7516 0.5424 V
0.0000 0.5000 0.5000 Ge
0.0000 0.0000 0.0000 Ge
0.5000 0.6510 0.1510 Mn
0.5000 0.3490 0.8490 Mn
0.6498 0.0000 0.6498 Mn
0.3502 0.0000 0.3502 Mn
```

[11]
MnV2Ge4 after structural relaxation, computed with PBE.

The calculation puts the total energy at -6.55 eV per atom. The space group is C2/m (12). The calculation puts the formation energy at 0.004 eV per atom. As for the density of states at the Fermi level: 5.83 states/eV per cell.

Structure (POSCAR):
```
MnV2Ge4
1.0
2.9145 0.0000 0.0000
0.0000 5.5731 0.0282
-1.4572 -2.6906 6.6661
Ge V Mn
4 2 1
direct
0.8844 0.2144 0.7688 Ge
0.1156 0.7856 0.2312 Ge
0.6067 0.3250 0.2133 Ge
0.3933 0.6750 0.7867 Ge
0.7559 0.7515 0.5119 V
0.2441 0.2485 0.4881 V
0.0000 0.0000 0.0000 Mn
```

[12]
MnVGe2 after structural relaxation, computed with PBE.

The calculation puts the total energy at -6.87 eV per atom. The space group is P4/mmm (123). The calculation puts the formation energy at 0.014 eV per atom. As for the density of states at the Fermi level: 2.95 states/eV per cell.

Structure (POSCAR):
```
MnVGe2
1.0
2.7698 0.0000 0.0000
0.0000 4.5211 0.0000
0.0000 0.0000 4.5211
V Ge Mn
1 2 1
direct
0.5000 0.5000 0.5000 V
0.0000 0.0000 0.5000 Ge
0.0000 0.5000 0.0000 Ge
0.5000 0.0000 0.0000 Mn
```